FeCoPt2, optimized geometry, DFT GGA-PBE; space-group type = No. 123; E = -6.974 eV per atom; ΔH_f (0 K) = -0.062 eV/atom
1.0
-1.043 -0.990 -2.867
-0.136 -3.013 1.090
-5.152 0.810 1.595
Fe Pt Co
1 2 1
Direct
0.500 0.500 0.750
0.000 0.000 0.002
0.000 0.000 0.498
0.500 0.500 0.250